Compound: Ba2Mg2Tl2Ni3O10
Source: Alexandria via LeMat-Bulk
Functional: PBE+U
Structure: optimized geometry

Cell and atoms, written as CIF:
```
data_Ba2Mg2Tl2Ni3O10
_chemical_formula_sum 'Ba4 Mg4 Tl4 Ni6 O20'
_space_group_name_H-M_alt 'C 1 m 1'
_space_group_IT_number 8
_cell_length_a 40.660
_cell_length_b 3.790
_cell_length_c 3.561
_cell_angle_alpha 90.00
_cell_angle_beta 94.98
_cell_angle_gamma 90.00
loop_
_space_group_symop_operation_xyz
'x,y,z'
'x,-y,z'
'x+1/2,y+1/2,z'
'x+1/2,-y+1/2,z'
loop_
_atom_site_label
_atom_site_type_symbol
_atom_site_fract_x
_atom_site_fract_y
_atom_site_fract_z
Ba1 Ba 0.000 0.000 0.000
Ba2 Ba 0.211 0.500 0.708
Mg1 Mg 0.313 0.500 0.809
Mg2 Mg 0.398 0.500 0.894
Tl1 Tl 0.077 0.500 0.576
Tl2 Tl 0.137 0.000 0.136
Ni1 Ni 0.274 0.000 0.270
Ni2 Ni 0.354 0.000 0.351
Ni3 Ni 0.436 0.000 0.432
O1 O 0.026 0.500 0.526
O2 O 0.084 0.000 0.084
O3 O 0.130 0.500 0.629
O4 O 0.188 0.000 0.186
O5 O 0.258 0.500 0.255
O6 O 0.296 0.000 0.792
O7 O 0.338 0.500 0.334
O8 O 0.379 0.000 0.876
O9 O 0.422 0.500 0.418
O10 O 0.458 0.000 0.954
```

Properties
Electronic total energy, eV per formula unit: -97.58
Spin magnetization, μB per atom: 0.307
N(E_F), states/eV/f.u.: 2.90
Theoretical density, g/cm³: 6.49